# PBE-GGA CsKNa2Cl, optimized geometry
data_CsKNa2Cl
_cell_length_a 6.4053
_cell_length_b 6.4053
_cell_length_c 6.2347
_cell_angle_alpha 90.00
_cell_angle_beta 90.00
_cell_angle_gamma 90.00
_symmetry_space_group_name_H-M 'P 4/m m m'
_symmetry_Int_Tables_number 123
_symmetry_space_group_name_Hall '-P 4 2'
loop_
_atom_site_label
_atom_site_type_symbol
_atom_site_fract_x
_atom_site_fract_y
_atom_site_fract_z
_atom_site_occupancy
Cs1 Cs 0.0000 0.0000 0.0000 1
K1 K 0.5000 0.5000 0.0000 1
Na1 Na 0.0000 0.5000 0.5000 1
Cl1 Cl 0.5000 0.5000 0.5000 1
# Formation energy from raw total energies (eV per atom): -0.53
# E above lowest polymorph (meV/atom): 32
# Final energy (eV per atom): -1.82